Record 1
The following is a PBE calculation of a relaxed structure of MgCdBi, from Alexandria.

Values from the calculation:
Symmetry: F-43m (216)
Energy of formation, meV/atom: -25
Energy above the lowest structure with this stoichiometry, meV/atom: 38

Lattice parameters (Å, degrees): 4.9467 4.9467 4.9467 60.00 60.00 60.00
Element x y z (fractional)
1 Mg 0.2500 0.2500 0.2500
2 Bi 0.0000 0.0000 0.0000
3 Cd 0.5000 0.5000 0.5000

=====

Record 2
The following is a PBE calculation of a relaxed structure of TlV2Os, from Alexandria.

Values from the calculation:
Symmetry: I-42d (122)
Energy of formation, meV/atom: 684
Energy above the lowest structure with this stoichiometry, meV/atom: 205

Lattice parameters (Å, degrees): 7.2754 7.2754 5.8217 51.33 51.33 90.00
Element x y z (fractional)
1 Tl 0.0000 0.0000 0.0000
2 Tl 0.7500 0.2500 0.5000
3 Os 0.5000 0.5000 0.0000
4 Os 0.2500 0.7500 0.5000
5 V 0.5681 0.1250 0.2500
6 V 0.1819 0.6250 0.2500
7 V 0.3750 0.4319 0.7500
8 V 0.8750 0.8181 0.7500

=====

Computed values of energy (unit: eV for the cell shown) for the preceding records, in sequence: -6.5 -58.2.
Computed values of theoretical density (unit: g/cm3) for the preceding records, in sequence: 6.71 11.43.
Computed values of size of the total moment (unit: μB/cell) for the preceding records, in sequence: 0.00 0.00.